First-principles (GGA-PBE) data for an optimized crystal structure of NbTc2MoIr, as listed in the Alexandria database.

Values from the calculation:
As for the calculated density: 9.7 g/cm³. The calculated formation energy is 1532 meV/atom. For the electronic total energy, the calculation gives -8.567 eV per atom.

Lattice parameters (Å, degrees): 4.5884 4.5884 4.6883 90.00 90.00 90.00
Fractional coordinates of all 5 atoms:
Nb (0.0000, 0.0000, 0.0000)
Tc (0.0000, 0.5000, 0.5000)
Tc (0.5000, 0.0000, 0.5000)
Mo (0.5000, 0.5000, 0.5000)
Ir (0.5000, 0.5000, 0.0000)